Record 1
Below is a relaxed structure of PrSn2Se4, with properties calculated at the PBE level.

Cell and atoms, written as POSCAR:
```
PrSn2Se4
1.0
-1.675 -3.639 -0.970
2.726 -0.682 6.613
-12.062 4.112 5.396
Pr Sn Se
2 4 8
direct
0.608 0.217 0.750 Pr
0.392 0.783 0.250 Pr
0.133 0.267 0.437 Sn
0.867 0.733 0.937 Sn
0.133 0.267 0.063 Sn
0.867 0.733 0.563 Sn
0.781 0.562 0.126 Se
0.781 0.562 0.374 Se
0.219 0.438 0.874 Se
0.219 0.438 0.626 Se
0.954 0.909 0.750 Se
0.046 0.091 0.250 Se
0.500 0.000 0.000 Se
0.500 0.000 0.500 Se
```

**E_form (uncorrected)**: -881 meV/atom
**Space-group type**: No. 63
**Final energy**: -4.6988 eV/atom
**Density of states at the Fermi level**: 8.2 states/eV/cell



Record 2
Below is a relaxed structure of Pr3Sn5Se12, with properties calculated at the PBE level.

Cell and atoms, written as POSCAR:
```
Pr3Sn5Se12
1.0
-13.052 -2.379 -6.290
0.912 -7.722 12.455
1.458 14.301 2.990
Pr Sn Se
12 20 48
direct
0.750 0.375 0.125 Pr
0.875 0.750 0.125 Pr
0.375 0.750 0.625 Pr
0.250 0.125 0.375 Pr
0.875 0.125 0.250 Pr
0.375 0.625 0.250 Pr
0.625 0.375 0.750 Pr
0.125 0.875 0.750 Pr
0.750 0.875 0.625 Pr
0.625 0.250 0.375 Pr
0.125 0.250 0.875 Pr
0.250 0.625 0.875 Pr
0.125 0.375 0.250 Sn
0.000 0.500 0.000 Sn
0.000 0.000 0.000 Sn
0.375 0.250 0.125 Sn
0.500 0.000 0.500 Sn
0.500 0.500 0.000 Sn
0.125 0.750 0.375 Sn
0.750 0.125 0.875 Sn
0.750 0.625 0.375 Sn
0.375 0.125 0.750 Sn
0.625 0.875 0.250 Sn
0.500 0.500 0.500 Sn
0.500 0.000 0.000 Sn
0.000 0.000 0.500 Sn
0.250 0.375 0.625 Sn
0.250 0.875 0.125 Sn
0.000 0.500 0.500 Sn
0.875 0.250 0.625 Sn
0.625 0.750 0.875 Sn
0.875 0.625 0.750 Sn
0.722 0.135 0.046 Se
0.325 0.546 0.411 Se
0.954 0.365 0.278 Se
0.546 0.222 0.135 Se
0.587 0.722 0.675 Se
0.954 0.589 0.175 Se
0.325 0.778 0.413 Se
0.089 0.913 0.135 Se
0.589 0.954 0.675 Se
0.722 0.587 0.175 Se
0.778 0.454 0.365 Se
0.825 0.911 0.046 Se
0.135 0.722 0.546 Se
0.365 0.411 0.087 Se
0.087 0.911 0.365 Se
0.413 0.135 0.589 Se
0.087 0.175 0.222 Se
0.454 0.675 0.089 Se
0.825 0.913 0.278 Se
0.135 0.413 0.089 Se
0.365 0.954 0.778 Se
0.589 0.635 0.413 Se
0.911 0.825 0.546 Se
0.778 0.325 0.913 Se
0.411 0.365 0.587 Se
0.089 0.175 0.454 Se
0.222 0.675 0.087 Se
0.175 0.087 0.722 Se
0.635 0.046 0.222 Se
0.865 0.587 0.911 Se
0.546 0.325 0.911 Se
0.587 0.865 0.411 Se
0.913 0.825 0.778 Se
0.913 0.089 0.635 Se
0.865 0.278 0.454 Se
0.175 0.089 0.954 Se
0.635 0.589 0.913 Se
0.411 0.046 0.325 Se
0.278 0.413 0.825 Se
0.222 0.546 0.635 Se
0.911 0.087 0.865 Se
0.675 0.222 0.587 Se
0.454 0.778 0.865 Se
0.046 0.411 0.825 Se
0.413 0.278 0.325 Se
0.046 0.635 0.722 Se
0.675 0.454 0.589 Se
0.278 0.865 0.954 Se
```

**E_form (uncorrected)**: -881 meV/atom
**Space-group type**: No. 230
**Final energy**: -4.6894 eV/atom
**Density of states at the Fermi level**: 26.8 states/eV/cell



Record 3
Below is a relaxed structure of Pr5Sn2Se2, with properties calculated at the PBE level.

Cell and atoms, written as POSCAR:
```
Pr5Sn2Se2
1.0
-3.711 -1.237 -7.338
6.211 3.766 -3.775
0.565 -8.654 1.173
Pr Sn Se
10 4 4
direct
0.000 0.000 0.000 Pr
0.500 0.500 0.000 Pr
0.840 0.815 0.287 Pr
0.160 0.472 0.287 Pr
0.340 0.972 0.287 Pr
0.660 0.315 0.287 Pr
0.160 0.185 0.713 Pr
0.840 0.528 0.713 Pr
0.660 0.028 0.713 Pr
0.340 0.685 0.713 Pr
0.631 0.870 0.000 Sn
0.369 0.130 0.000 Sn
0.131 0.630 0.000 Sn
0.869 0.370 0.000 Sn
0.000 0.197 0.393 Se
0.500 0.697 0.393 Se
0.000 0.803 0.607 Se
0.500 0.303 0.607 Se
```

**E_form (uncorrected)**: -1159 meV/atom
**Space-group type**: No. 64
**Final energy**: -5.4786 eV/atom
**Density of states at the Fermi level**: 12.6 states/eV/cell



Record 4
Below is a relaxed structure of Pr2SnSe, with properties calculated at the PBE level.

Cell and atoms, written as POSCAR:
```
Pr2SnSe
1.0
6.265 0.000 0.000
0.000 6.260 0.247
0.000 -0.495 12.519
Pr Sn Se
8 4 4
direct
0.750 0.000 0.880 Pr
0.250 0.000 0.120 Pr
0.750 0.500 0.620 Pr
0.250 0.500 0.380 Pr
0.750 0.500 0.130 Pr
0.250 0.500 0.870 Pr
0.750 0.000 0.370 Pr
0.250 0.000 0.630 Pr
0.250 0.000 0.375 Sn
0.750 0.000 0.625 Sn
0.250 0.500 0.125 Sn
0.750 0.500 0.875 Sn
0.250 0.500 0.625 Se
0.750 0.500 0.375 Se
0.250 0.000 0.875 Se
0.750 0.000 0.125 Se
```

**E_form (uncorrected)**: -1311 meV/atom
**Polymorph energy (0 for the lowest one)**: 0.000 eV per atom
**Space-group type**: No. 141
**Final energy**: -5.5725 eV/atom
**Density of states at the Fermi level**: 4.5 states/eV/cell



Record 5
Below is a relaxed structure of PrSn2Se3, with properties calculated at the PBE level.

Cell and atoms, written as POSCAR:
```
PrSn2Se3
1.0
-3.183 -0.664 -2.523
4.561 -4.164 -4.658
0.244 -11.991 2.848
Pr Sn Se
2 4 6
direct
0.250 0.688 0.830 Pr
0.750 0.312 0.170 Pr
0.250 0.277 0.486 Sn
0.750 0.723 0.514 Sn
0.750 0.091 0.836 Sn
0.250 0.909 0.164 Sn
0.750 0.937 0.664 Se
0.250 0.063 0.336 Se
0.750 0.510 0.343 Se
0.250 0.490 0.657 Se
0.250 0.284 0.002 Se
0.750 0.716 0.998 Se
```

**E_form (uncorrected)**: -873 meV/atom
**Space-group type**: No. 11
**Final energy**: -4.7461 eV/atom
**Density of states at the Fermi level**: 1.6 states/eV/cell



Record 6
Below is a relaxed structure of PrSn6Se8, with properties calculated at the PBE level.

Cell and atoms, written as POSCAR:
```
PrSn6Se8
1.0
-3.759 1.850 -6.754
2.947 -5.549 -4.868
-5.904 -5.320 0.121
Pr Sn Se
1 6 8
direct
0.000 0.000 0.000 Pr
0.626 0.382 0.864 Sn
0.382 0.864 0.626 Sn
0.864 0.626 0.382 Sn
0.374 0.618 0.136 Sn
0.618 0.136 0.374 Sn
0.136 0.374 0.618 Sn
0.708 0.708 0.708 Se
0.292 0.292 0.292 Se
0.667 0.871 0.178 Se
0.871 0.178 0.667 Se
0.178 0.667 0.871 Se
0.333 0.129 0.822 Se
0.129 0.822 0.333 Se
0.822 0.333 0.129 Se
```

**E_form (uncorrected)**: -565 meV/atom
**Space-group type**: No. 148
**Final energy**: -4.3432 eV/atom
**Density of states at the Fermi level**: 7.6 states/eV/cell



Record 7
Below is a relaxed structure of Pr4SnSe2, with properties calculated at the PBE level.

Cell and atoms, written as POSCAR:
```
Pr4SnSe2
1.0
-0.552 -1.928 3.881
6.425 -2.129 -2.602
6.308 11.162 6.443
Pr Sn Se
8 2 4
direct
0.771 0.543 0.122 Pr
0.771 0.543 0.378 Pr
0.229 0.457 0.878 Pr
0.229 0.457 0.622 Pr
0.942 0.884 0.750 Pr
0.058 0.116 0.250 Pr
0.500 0.000 0.000 Pr
0.500 0.000 0.500 Pr
0.607 0.215 0.750 Sn
0.393 0.785 0.250 Sn
0.136 0.272 0.439 Se
0.864 0.728 0.939 Se
0.136 0.272 0.061 Se
0.864 0.728 0.561 Se
```

**E_form (uncorrected)**: -1290 meV/atom
**Space-group type**: No. 63
**Final energy**: -5.5884 eV/atom
**Density of states at the Fermi level**: 10.4 states/eV/cell



Record 8
Below is a relaxed structure of Pr2SnSe5, with properties calculated at the PBE level.

Cell and atoms, written as POSCAR:
```
Pr2SnSe5
1.0
4.190 0.000 0.000
0.000 8.249 0.000
0.000 0.000 11.893
Pr Sn Se
4 2 10
direct
0.500 0.568 0.171 Pr
0.500 0.432 0.829 Pr
0.500 0.932 0.671 Pr
0.500 0.068 0.329 Pr
0.000 0.500 0.500 Sn
0.000 0.000 0.000 Sn
0.000 0.000 0.500 Se
0.000 0.500 0.000 Se
0.000 0.849 0.205 Se
0.000 0.151 0.795 Se
0.000 0.651 0.705 Se
0.000 0.349 0.295 Se
0.500 0.692 0.425 Se
0.500 0.308 0.575 Se
0.500 0.808 0.925 Se
0.500 0.192 0.075 Se
```

**E_form (uncorrected)**: -1317 meV/atom
**Polymorph energy (0 for the lowest one)**: 0.000 eV per atom
**Space-group type**: No. 55
**Final energy**: -5.1896 eV/atom
**Density of states at the Fermi level**: 2.9 states/eV/cell



Record 9
Below is a relaxed structure of Pr2SnSe, with properties calculated at the PBE level.

Cell and atoms, written as POSCAR:
```
Pr2SnSe
1.0
3.633 0.000 0.000
0.000 3.633 0.000
0.000 0.000 8.270
Pr Sn Se
2 1 1
direct
0.000 0.000 0.769 Pr
0.000 0.000 0.231 Pr
0.500 0.500 0.500 Sn
0.500 0.500 0.000 Se
```

**E_form (uncorrected)**: -1151 meV/atom
**Polymorph energy (0 for the lowest one)**: 0.160 eV per atom
**Space-group type**: No. 123
**Final energy**: -5.4122 eV/atom
**Density of states at the Fermi level**: 3.3 states/eV/cell



Record 10
Below is a relaxed structure of Pr2SnSe, with properties calculated at the PBE level.

Cell and atoms, written as POSCAR:
```
Pr2SnSe
1.0
-0.575 2.128 3.717
-3.545 -0.707 2.369
2.309 -5.199 5.845
Pr Sn Se
2 1 1
direct
0.084 0.084 0.749 Pr
0.251 0.251 0.247 Pr
0.667 0.667 0.998 Sn
0.498 0.498 0.506 Se
```

**E_form (uncorrected)**: -1154 meV/atom
**Polymorph energy (0 for the lowest one)**: 0.157 eV per atom
**Space-group type**: No. 160
**Final energy**: -5.4154 eV/atom
**Density of states at the Fermi level**: 3.0 states/eV/cell



Record 11
Below is a relaxed structure of PrSn3Se6, with properties calculated at the PBE level.

Cell and atoms, written as POSCAR:
```
PrSn3Se6
1.0
4.097 0.000 0.000
0.000 12.203 -0.435
0.000 -4.514 11.283
Pr Sn Se
2 6 12
direct
0.750 0.060 0.714 Pr
0.250 0.940 0.286 Pr
0.750 0.477 0.855 Sn
0.250 0.523 0.145 Sn
0.750 0.711 0.447 Sn
0.250 0.289 0.553 Sn
0.750 0.162 0.125 Sn
0.250 0.838 0.875 Sn
0.750 0.462 0.623 Se
0.250 0.538 0.377 Se
0.750 0.931 0.089 Se
0.250 0.069 0.911 Se
0.750 0.349 0.058 Se
0.250 0.651 0.942 Se
0.750 0.743 0.241 Se
0.250 0.257 0.759 Se
0.750 0.098 0.475 Se
0.250 0.902 0.525 Se
0.750 0.798 0.717 Se
0.250 0.202 0.283 Se
```

**E_form (uncorrected)**: -721 meV/atom
**Space-group type**: No. 11
**Final energy**: -4.4901 eV/atom
**Density of states at the Fermi level**: 5.3 states/eV/cell



Record 12
Below is a relaxed structure of Pr2SnSe, with properties calculated at the PBE level.

Cell and atoms, written as POSCAR:
```
Pr2SnSe
1.0
-1.612 2.186 3.464
-3.845 2.117 -0.328
-5.330 -4.607 3.224
Pr Sn Se
2 1 1
direct
0.247 0.247 0.259 Pr
0.753 0.753 0.741 Pr
0.000 0.000 0.000 Sn
0.500 0.500 0.500 Se
```

**E_form (uncorrected)**: -1282 meV/atom
**Polymorph energy (0 for the lowest one)**: 0.029 eV per atom
**Space-group type**: No. 166
**Final energy**: -5.5439 eV/atom
**Density of states at the Fermi level**: 1.6 states/eV/cell



Record 13
Below is a relaxed structure of Pr7SnSe5, with properties calculated at the PBE level.

Cell and atoms, written as POSCAR:
```
Pr7SnSe5
1.0
4.317 0.000 0.000
-2.158 6.970 0.008
0.000 -0.030 25.265
Pr Sn Se
14 2 10
direct
0.471 0.942 0.250 Pr
0.530 0.059 0.750 Pr
0.637 0.275 0.037 Pr
0.363 0.726 0.963 Pr
0.363 0.726 0.537 Pr
0.637 0.275 0.463 Pr
0.184 0.368 0.177 Pr
0.817 0.634 0.823 Pr
0.817 0.634 0.677 Pr
0.184 0.367 0.323 Pr
0.906 0.812 0.114 Pr
0.095 0.189 0.886 Pr
0.094 0.189 0.614 Pr
0.906 0.812 0.386 Pr
0.805 0.610 0.250 Sn
0.196 0.391 0.750 Sn
0.000 0.001 0.000 Se
0.727 0.453 0.929 Se
0.274 0.548 0.071 Se
0.547 0.094 0.358 Se
0.453 0.907 0.642 Se
0.000 0.001 0.500 Se
0.274 0.548 0.429 Se
0.727 0.453 0.571 Se
0.453 0.907 0.858 Se
0.547 0.094 0.142 Se
```

**E_form (uncorrected)**: -1553 meV/atom
**Space-group type**: No. 63
**Final energy**: -5.7750 eV/atom
**Density of states at the Fermi level**: 17.1 states/eV/cell



Record 14
Below is a relaxed structure of Pr2SnSe5, with properties calculated at the PBE level.

Cell and atoms, written as POSCAR:
```
Pr2SnSe5
1.0
5.673 0.000 0.000
-2.836 7.287 0.000
0.000 0.000 13.657
Pr Sn Se
4 2 10
direct
0.843 0.686 0.430 Pr
0.843 0.686 0.070 Pr
0.157 0.314 0.570 Pr
0.157 0.314 0.930 Pr
0.835 0.669 0.750 Sn
0.165 0.331 0.250 Sn
0.959 0.918 0.893 Se
0.959 0.918 0.607 Se
0.294 0.587 0.403 Se
0.294 0.587 0.097 Se
0.716 0.433 0.250 Se
0.284 0.567 0.750 Se
0.706 0.413 0.597 Se
0.706 0.413 0.903 Se
0.041 0.082 0.107 Se
0.041 0.082 0.393 Se
```

**E_form (uncorrected)**: -1168 meV/atom
**Polymorph energy (0 for the lowest one)**: 0.148 eV per atom
**Space-group type**: No. 63
**Final energy**: -5.0413 eV/atom
**Density of states at the Fermi level**: 4.3 states/eV/cell



Record 15
Below is a relaxed structure of PrSn6Se8, with properties calculated at the PBE level.

Cell and atoms, written as POSCAR:
```
PrSn6Se8
1.0
5.181 0.000 0.000
0.000 8.890 -5.133
0.000 0.000 10.266
Pr Sn Se
1 6 8
direct
0.500 0.000 0.000 Pr
0.658 0.674 0.107 Sn
0.658 0.893 0.567 Sn
0.658 0.433 0.326 Sn
0.342 0.326 0.893 Sn
0.342 0.107 0.433 Sn
0.342 0.567 0.674 Sn
0.767 0.975 0.251 Se
0.767 0.749 0.724 Se
0.767 0.276 0.025 Se
0.233 0.025 0.749 Se
0.233 0.251 0.276 Se
0.233 0.724 0.975 Se
0.635 0.333 0.667 Se
0.365 0.667 0.333 Se
```

**E_form (uncorrected)**: -564 meV/atom
**Space-group type**: No. 147
**Final energy**: -4.3426 eV/atom
**Density of states at the Fermi level**: 4.5 states/eV/cell



Record 16
Below is a relaxed structure of PrSnSe4, with properties calculated at the PBE level.

Cell and atoms, written as POSCAR:
```
PrSnSe4
1.0
-0.083 6.200 -3.866
-4.007 -3.551 -5.608
-3.402 0.379 7.586
Pr Sn Se
2 2 8
direct
0.162 0.750 0.000 Pr
0.838 0.250 0.000 Pr
0.500 0.500 0.500 Sn
0.000 0.000 0.500 Sn
0.164 0.161 0.312 Se
0.148 0.661 0.312 Se
0.618 0.918 0.145 Se
0.527 0.418 0.145 Se
0.382 0.082 0.855 Se
0.473 0.582 0.855 Se
0.836 0.839 0.688 Se
0.852 0.339 0.688 Se
```

**E_form (uncorrected)**: -845 meV/atom
**Space-group type**: No. 15
**Final energy**: -4.6313 eV/atom
**Density of states at the Fermi level**: 4.2 states/eV/cell



no.,total magnetic moment (μB per cell)
1,0.0
2,0.0
3,0.0
4,0.0
5,0.0
6,0.0
7,1.1
8,0.0
9,0.0
10,0.0
11,0.0
12,0.0
13,0.0
14,0.0
15,0.0
16,0.0